(1)
{
  "formula": "SmHoTmAg",
  "functional": "PBE-GGA",
  "state": "relaxed",
  "e_above_lowest_polymorph_ev_per_atom": 0.000,
  "e_form_ev_per_atom": -0.14,
  "lattice": [[3.564, 0.000, 0.000], [0.000, 3.564, 0.000], [0.000, 0.000, 8.824]],
  "species": ["Sm", "Ho", "Tm", "Ag"],
  "fractional_positions": [[0.000, 0.000, 0.000], [0.500, 0.500, 0.709], [0.500, 0.500, 0.289], [0.000, 0.000, 0.494]]
}



(2)
{
  "formula": "AlAs2SeBr",
  "functional": "PBE-GGA",
  "state": "relaxed",
  "formation_energy_uncorrected_ev_per_fu": 2.10,
  "e_above_lowest_polymorph_ev_per_atom": 0.011,
  "lattice": [[5.018, 0.000, 0.000], [0.000, 5.018, 0.000], [0.000, 0.000, 4.745]],
  "species": ["Al", "As", "As", "Se", "Br"],
  "fractional_positions": [[0.000, 0.000, 0.000], [0.000, 0.500, 0.000], [0.500, 0.000, 0.000], [0.500, 0.500, 0.500], [0.000, 0.000, 0.500]]
}



(3)
{
  "formula": "SmMg4Ag",
  "functional": "PBE-GGA",
  "state": "relaxed",
  "e_form_ev_per_atom": -0.15,
  "lattice": [[8.699, 0.000, 0.000], [0.000, 4.342, 0.000], [0.000, 0.000, 7.622]],
  "species": ["Sm", "Sm", "Mg", "Mg", "Mg", "Mg", "Mg", "Mg", "Mg", "Mg", "Ag", "Ag"],
  "fractional_positions": [[0.250, 0.000, 0.110], [0.750, 0.000, 0.890], [0.000, 0.000, 0.500], [0.055, 0.500, 0.808], [0.250, 0.500, 0.444], [0.445, 0.500, 0.808], [0.500, 0.000, 0.500], [0.555, 0.500, 0.192], [0.750, 0.500, 0.556], [0.945, 0.500, 0.192], [0.250, 0.000, 0.707], [0.750, 0.000, 0.293]]
}



(4)
{
  "formula": "Pm2Mg2Ag3",
  "functional": "PBE-GGA",
  "state": "relaxed",
  "e_form_ev_per_atom": -0.15,
  "lattice": [[4.182, -2.416, 0.000], [4.182, 2.416, 0.000], [-2.794, 0.000, 8.454]],
  "species": ["Pm", "Pm", "Mg", "Mg", "Ag", "Ag", "Ag"],
  "fractional_positions": [[0.123, 0.123, 0.369], [0.877, 0.877, 0.631], [0.371, 0.371, 0.115], [0.629, 0.629, 0.885], [0.000, 0.000, 0.000], [0.259, 0.259, 0.774], [0.741, 0.741, 0.226]]
}



Quick rundown of raw total energy, same order as above: -4.291 -3.219 -2.473 -3.181 eV/atom